DFT (PBE-GGA) results for a relaxed BaSr crystal.

Values from the calculation:
E_tot = -28.8 eV for the cell shown
relative energy among the computed polymorphs = 1 meV per atom
M_tot = 0.00 Bohr magnetons per cell
ΔH_f (0 K) = 0.0 kJ/mol of atoms

Geometry as CIF:
```
data_BaSr
_chemical_formula_sum 'Ba8 Sr8'
_space_group_name_H-M_alt 'I 41/a m d'
_space_group_IT_number 141
_cell_length_a 9.7401
_cell_length_b 9.7401
_cell_length_c 9.7641
_cell_angle_alpha 90.00
_cell_angle_beta 90.00
_cell_angle_gamma 90.00
loop_
_space_group_symop_operation_xyz
'x,y,z'
'-x,-y,-z'
'-y+1/4,x+3/4,z+1/4'
'y+1/4,-x+3/4,-z+1/4'
'-x+1/2,-y,z+1/2'
'x+1/2,y,-z+1/2'
'y+1/4,-x+1/4,z+3/4'
'-y+1/4,x+1/4,-z+3/4'
'x,-y,-z'
'-x,y,z'
'-y+1/4,-x+1/4,-z+3/4'
'y+1/4,x+1/4,z+3/4'
'-x+1/2,y,-z+1/2'
'x+1/2,-y,z+1/2'
'y+1/4,x+3/4,-z+1/4'
'-y+1/4,-x+3/4,z+1/4'
'x+1/2,y+1/2,z+1/2'
'-x+1/2,-y+1/2,-z+1/2'
'-y+3/4,x+1/4,z+3/4'
'y+3/4,-x+1/4,-z+3/4'
'-x,-y+1/2,z'
'x,y+1/2,-z'
'y+3/4,-x+3/4,z+1/4'
'-y+3/4,x+3/4,-z+1/4'
'x+1/2,-y+1/2,-z+1/2'
'-x+1/2,y+1/2,z+1/2'
'-y+3/4,-x+3/4,-z+1/4'
'y+3/4,x+3/4,z+1/4'
'-x,y+1/2,-z'
'x,-y+1/2,z'
'y+3/4,x+1/4,-z+3/4'
'-y+3/4,-x+1/4,z+3/4'
loop_
_atom_site_label
_atom_site_type_symbol
_atom_site_fract_x
_atom_site_fract_y
_atom_site_fract_z
Ba1 Ba 0.0000 0.0000 0.0000
Sr1 Sr 0.0000 0.0000 0.5000
```